Material: Sr2Sn2Bi
Method: DFT, PBE-GGA
State: relaxed

Its crystal system is orthorhombic. The calculation puts the calculated total energy at -18.2 eV/f.u. The magnetic moment is 0.000 Bohr magnetons per cell. The calculation puts the formation energy at -596 meV/atom. The distance to the lowest polymorph of the same formula comes out at 21.3 meV per atom. The density is 6.0 g cm⁻³.

The structure belongs to space group Cmmm (No. 65); the cell edges are 4.611, 16.096 and 4.615 Å and the angles 90.00°, 90.00° and 90.00°. The asymmetric unit holds Sr at (0.000, 0.123, 0.000), Sn at (0.000, 0.304, 0.500) and Bi at (0.000, 0.500, 0.500).